AcPrAs | PBE | optimized geometry

Cell and atoms, written as POSCAR:
```
AcPrAs
1.0
-3.7482 3.2912 -1.4431
-4.4533 0.1924 2.6635
-1.0918 4.1407 2.9370
Pr Ac As
1 1 1
Cartesian
0.0000 0.0000 0.0000 Pr
-4.6467 3.8122 2.0787 Ac
-2.3233 1.9061 1.0394 As
```

Computed properties:
For the offset from the most stable computed form, the calculation gives 0.27 eV/f.u. As for the crystal system: cubic. The total magnetization is 0.00 μB per cell. The calculation puts the formation enthalpy at 0 K at -0.740 eV per atom. Its space-group type is No. 216.